# 1
Density functional theory data (PBE) for a geometry-optimized DyInNiHg structure.

Geometry as CIF:
```
data_DyInNiHg
_space_group_name_H-M_alt 'P 1'
_space_group_IT_number 1
_space_group_name_Hall 'P 1'
_cell_length_a 4.876
_cell_length_b 4.876
_cell_length_c 4.876
_cell_angle_alpha 60.00
_cell_angle_beta 60.00
_cell_angle_gamma 60.00
loop_
_atom_site_label
_atom_site_type_symbol
_atom_site_fract_x
_atom_site_fract_y
_atom_site_fract_z
_atom_site_occupancy
Hg1 Hg 0.750 0.750 0.750 1
Dy1 Dy 0.000 0.000 0.000 1
Ni1 Ni 0.250 0.250 0.250 1
In1 In 0.500 0.500 0.500 1
```

The calculation puts the energy of formation at -0.270 eV/atom. The calculation puts the total moment at 0.00 μB per cell. The total energy is -3.63 eV/atom.

=====

# 2
Density functional theory data (PBE) for a geometry-optimized DyIn4HgO8 structure.

Geometry as CIF:
```
data_DyIn4HgO8
_space_group_name_H-M_alt 'P 1'
_space_group_IT_number 1
_space_group_name_Hall 'P 1'
_cell_length_a 6.649
_cell_length_b 6.649
_cell_length_c 6.743
_cell_angle_alpha 60.46
_cell_angle_beta 60.46
_cell_angle_gamma 60.00
loop_
_atom_site_label
_atom_site_type_symbol
_atom_site_fract_x
_atom_site_fract_y
_atom_site_fract_z
_atom_site_occupancy
In1 In 0.625 0.625 0.126 1
In2 In 0.000 0.499 0.501 1
In3 In 0.000 0.000 0.501 1
In4 In 0.499 0.000 0.501 1
O1 O 0.238 0.238 0.728 1
O2 O 0.756 0.222 0.265 1
O3 O 0.238 0.795 0.728 1
O4 O 0.756 0.756 0.265 1
O5 O 0.222 0.756 0.265 1
O6 O 0.233 0.233 0.301 1
O7 O 0.795 0.238 0.728 1
O8 O 0.762 0.762 0.714 1
Dy1 Dy 0.001 0.001 0.997 1
Hg1 Hg 0.373 0.373 0.881 1
```

Its formation energy (no corrections) is -1.66 eV/atom. The calculation puts the total moment at 0.00 μB per cell. The total energy is -5.62 eV/atom.

=====

# 3
Density functional theory data (PBE) for a geometry-optimized Dy4InHgO structure.

Geometry as CIF:
```
data_Dy4InHgO
_space_group_name_H-M_alt 'P 1'
_space_group_IT_number 1
_space_group_name_Hall 'P 1'
_cell_length_a 6.584
_cell_length_b 6.592
_cell_length_c 8.638
_cell_angle_alpha 90.00
_cell_angle_beta 112.40
_cell_angle_gamma 90.00
loop_
_atom_site_label
_atom_site_type_symbol
_atom_site_fract_x
_atom_site_fract_y
_atom_site_fract_z
_atom_site_occupancy
Dy1 Dy 0.500 0.000 0.500 1
Dy2 Dy 0.071 0.750 0.143 1
Dy3 Dy 0.929 0.250 0.857 1
Dy4 Dy 0.000 0.500 0.500 1
Dy5 Dy 0.581 0.250 0.163 1
Dy6 Dy 0.000 0.000 0.500 1
Dy7 Dy 0.500 0.500 0.500 1
Dy8 Dy 0.419 0.750 0.837 1
Hg1 Hg 0.883 0.750 0.766 1
Hg2 Hg 0.117 0.250 0.234 1
O1 O 0.746 0.250 0.491 1
O2 O 0.254 0.750 0.509 1
In1 In 0.613 0.750 0.225 1
In2 In 0.387 0.250 0.775 1
```

Its formation energy (no corrections) is -1.09 eV/atom. The calculation puts the total moment at 0.00 μB per cell. The total energy is -4.86 eV/atom.

=====

# 4
Density functional theory data (PBE) for a geometry-optimized Dy4InHg2Pd structure.

Geometry as CIF:
```
data_Dy4InHg2Pd
_space_group_name_H-M_alt 'P 1'
_space_group_IT_number 1
_space_group_name_Hall 'P 1'
_cell_length_a 5.207
_cell_length_b 5.207
_cell_length_c 8.977
_cell_angle_alpha 73.14
_cell_angle_beta 73.14
_cell_angle_gamma 60.00
loop_
_atom_site_label
_atom_site_type_symbol
_atom_site_fract_x
_atom_site_fract_y
_atom_site_fract_z
_atom_site_occupancy
Hg1 Hg 0.744 0.744 0.767 1
Hg2 Hg 0.256 0.256 0.233 1
Dy1 Dy 0.383 0.383 0.852 1
Dy2 Dy 0.870 0.870 0.391 1
Dy3 Dy 0.130 0.130 0.609 1
Dy4 Dy 0.617 0.617 0.148 1
In1 In 0.000 0.000 0.000 1
Pd1 Pd 0.500 0.500 0.500 1
```

The calculation puts the energy of formation at -0.572 eV/atom. The calculation puts the total moment at 0.00 μB per cell. The total energy is -3.94 eV/atom.